Computed, not measured: Rb3H2Br4 after structural relaxation at the GGA-PBE level of DFT.

abc: 9.112 10.399 9.142
angles: 124.66 80.08 90.00
Fractional coordinates of all 18 atoms:
Rb: 0.155 0.747 0.692
Rb: 0.345 0.055 0.308
Rb: 0.845 0.253 0.308
Rb: 0.655 0.945 0.692
Rb: 0.750 0.545 0.000
Rb: 0.250 0.455 0.000
H: 0.475 0.524 0.282
H: 0.025 0.242 0.718
H: 0.525 0.476 0.718
H: 0.975 0.758 0.282
Br: 0.495 0.661 0.811
Br: 0.005 0.849 0.189
Br: 0.505 0.339 0.189
Br: 0.995 0.151 0.811
Br: 0.930 0.612 0.358
Br: 0.570 0.254 0.642
Br: 0.070 0.388 0.642
Br: 0.430 0.746 0.358

Properties
Symmetry: C2/c (15)
VASP energy: -2.69 eV/atom

=====

Computed, not measured: Rb5HBr4 after structural relaxation at the GGA-PBE level of DFT.

abc: 4.893 4.893 17.451
angles: 98.06 98.06 90.00
Fractional coordinates of all 10 atoms:
Rb: 0.093 0.093 0.185
Rb: 0.500 0.500 0.000
Rb: 0.907 0.907 0.815
Rb: 0.300 0.300 0.601
Rb: 0.700 0.700 0.399
H: 0.000 0.000 0.000
Br: 0.402 0.402 0.804
Br: 0.803 0.803 0.605
Br: 0.197 0.197 0.395
Br: 0.598 0.598 0.196

Properties
Symmetry: I4/mmm (139)
VASP energy: -2.90 eV/atom

=====

Computed, not measured: RbHBr after structural relaxation at the GGA-PBE level of DFT.

abc: 4.776 4.906 9.609
angles: 104.79 104.39 90.00
Fractional coordinates of all 6 atoms:
Rb: 0.845 0.345 0.691
Rb: 0.155 0.655 0.309
H: 0.500 0.577 0.000
H: 0.500 0.423 0.000
Br: 0.347 0.847 0.694
Br: 0.653 0.153 0.306

Properties
Symmetry: Immm (71)
Excess energy over the best structure of this formula in the dataset: 0.0 meV/atom
VASP energy: -3.13 eV/atom

=====

Computed, not measured: RbHBr after structural relaxation at the GGA-PBE level of DFT.

abc: 4.873 6.496 6.503
angles: 82.90 68.08 68.16
Fractional coordinates of all 6 atoms:
Rb: 0.681 0.502 0.078
Rb: 0.654 0.028 0.604
H: 0.336 0.803 0.461
H: 0.336 0.891 0.373
Br: 0.003 0.434 0.503
Br: 0.003 0.928 0.008

Properties
Symmetry: P1 (1)
Excess energy over the best structure of this formula in the dataset: 2.8 meV/atom
VASP energy: -3.13 eV/atom

=====

Computed, not measured: RbHBr2 after structural relaxation at the GGA-PBE level of DFT.

abc: 7.033 7.033 6.658
angles: 58.12 58.12 90.00
Fractional coordinates of all 8 atoms:
H: 0.500 0.500 0.000
H: 0.250 0.750 0.500
Br: 0.478 0.125 0.250
Br: 0.272 0.625 0.250
Br: 0.375 0.522 0.750
Br: 0.875 0.728 0.750
Rb: 0.000 0.000 0.000
Rb: 0.750 0.250 0.500

Properties
Symmetry: I-42d (122)
Excess energy over the best structure of this formula in the dataset: 409.2 meV/atom
VASP energy: -2.52 eV/atom

=====

Computed, not measured: Rb2H3Br after structural relaxation at the GGA-PBE level of DFT.

abc: 6.838 6.838 8.889
angles: 113.57 113.57 88.97
Fractional coordinates of all 12 atoms:
Rb: 0.187 0.355 0.228
Rb: 0.645 0.813 0.272
Rb: 0.813 0.645 0.772
Rb: 0.355 0.187 0.728
H: 0.658 0.480 0.392
H: 0.520 0.342 0.108
H: 0.342 0.520 0.608
H: 0.480 0.658 0.892
H: 0.594 0.406 0.250
H: 0.406 0.594 0.750
Br: 0.131 0.869 0.250
Br: 0.869 0.131 0.750

Properties
Symmetry: C2/c (15)
VASP energy: -2.84 eV/atom

=====

Computed, not measured: Rb5H3Br2 after structural relaxation at the GGA-PBE level of DFT.

abc: 4.577 8.215 9.709
angles: 78.08 76.37 73.82
Fractional coordinates of all 10 atoms:
Rb: 0.000 0.000 0.000
Rb: 0.083 0.243 0.590
Rb: 0.917 0.757 0.410
Rb: 0.691 0.435 0.183
Rb: 0.309 0.565 0.817
H: 0.500 0.500 0.500
H: 0.114 0.648 0.125
H: 0.886 0.352 0.875
Br: 0.326 0.081 0.266
Br: 0.674 0.919 0.734

Properties
Symmetry: C2/m (12)
VASP energy: -2.61 eV/atom

=====

Computed, not measured: Rb4H3Br4 after structural relaxation at the GGA-PBE level of DFT.

abc: 6.797 5.575 13.946
angles: 90.00 90.00 131.05
Fractional coordinates of all 11 atoms:
Rb: 0.638 0.259 0.744
Rb: 0.638 0.259 0.256
Rb: 0.077 0.161 0.500
Rb: 0.070 0.142 0.000
H: 0.229 0.557 0.312
H: 0.229 0.557 0.688
H: 0.484 0.827 0.000
Br: 0.668 0.335 0.500
Br: 0.672 0.326 0.000
Br: 0.046 0.088 0.753
Br: 0.046 0.088 0.247

Properties
Symmetry: Pm (6)
VASP energy: -2.53 eV/atom

=====

Computed, not measured: RbHBr2 after structural relaxation at the GGA-PBE level of DFT.

abc: 9.108 9.108 9.108
angles: 25.64 25.64 25.64
Fractional coordinates of all 4 atoms:
H: 0.500 0.500 0.500
Br: 0.883 0.883 0.883
Br: 0.117 0.117 0.117
Rb: 0.000 0.000 0.000

Properties
Symmetry: R-3m (166)
Excess energy over the best structure of this formula in the dataset: 1116.4 meV/atom
VASP energy: -1.82 eV/atom

=====

Computed, not measured: RbHBr2 after structural relaxation at the GGA-PBE level of DFT.

abc: 5.439 5.439 13.036
angles: 90.00 90.00 120.00
Fractional coordinates of all 8 atoms:
Rb: 0.000 0.000 0.500
Rb: 0.000 0.000 0.000
H: 0.667 0.333 0.750
H: 0.333 0.667 0.250
Br: 0.667 0.333 0.619
Br: 0.667 0.333 0.881
Br: 0.333 0.667 0.381
Br: 0.333 0.667 0.119

Properties
Symmetry: P6_3/mmc (194)
Excess energy over the best structure of this formula in the dataset: 2.0 meV/atom
VASP energy: -2.93 eV/atom

=====

Computed, not measured: Rb12H5Br3 after structural relaxation at the GGA-PBE level of DFT.

abc: 16.627 16.627 16.627
angles: 109.47 109.47 109.47
Fractional coordinates of all 80 atoms:
Br: 0.750 0.375 0.125
Br: 0.875 0.750 0.125
Br: 0.375 0.750 0.625
Br: 0.250 0.125 0.375
Br: 0.875 0.125 0.250
Br: 0.375 0.625 0.250
Br: 0.625 0.375 0.750
Br: 0.125 0.875 0.750
Br: 0.750 0.875 0.625
Br: 0.625 0.250 0.375
Br: 0.125 0.250 0.875
Br: 0.250 0.625 0.875
H: 0.125 0.375 0.250
H: 0.000 0.500 0.000
H: 0.000 0.000 0.000
H: 0.375 0.250 0.125
H: 0.500 0.000 0.500
H: 0.500 0.500 0.000
H: 0.125 0.750 0.375
H: 0.750 0.125 0.875
H: 0.750 0.625 0.375
H: 0.375 0.125 0.750
H: 0.625 0.875 0.250
H: 0.500 0.500 0.500
H: 0.500 0.000 0.000
H: 0.000 0.000 0.500
H: 0.250 0.375 0.625
H: 0.250 0.875 0.125
H: 0.000 0.500 0.500
H: 0.875 0.250 0.625
H: 0.625 0.750 0.875
H: 0.875 0.625 0.750
Rb: 0.704 0.121 0.019
Rb: 0.315 0.519 0.398
Rb: 0.981 0.379 0.296
Rb: 0.519 0.204 0.121
Rb: 0.583 0.704 0.685
Rb: 0.981 0.602 0.185
Rb: 0.315 0.796 0.417
Rb: 0.102 0.917 0.121
Rb: 0.602 0.981 0.685
Rb: 0.704 0.583 0.185
Rb: 0.796 0.481 0.379
Rb: 0.815 0.898 0.019
Rb: 0.121 0.704 0.519
Rb: 0.379 0.398 0.083
Rb: 0.083 0.898 0.379
Rb: 0.417 0.121 0.602
Rb: 0.083 0.185 0.204
Rb: 0.481 0.685 0.102
Rb: 0.815 0.917 0.296
Rb: 0.121 0.417 0.102
Rb: 0.379 0.981 0.796
Rb: 0.602 0.621 0.417
Rb: 0.898 0.815 0.519
Rb: 0.796 0.315 0.917
Rb: 0.398 0.379 0.583
Rb: 0.102 0.185 0.481
Rb: 0.204 0.685 0.083
Rb: 0.185 0.083 0.704
Rb: 0.621 0.019 0.204
Rb: 0.879 0.583 0.898
Rb: 0.519 0.315 0.898
Rb: 0.583 0.879 0.398
Rb: 0.917 0.815 0.796
Rb: 0.917 0.102 0.621
Rb: 0.879 0.296 0.481
Rb: 0.185 0.102 0.981
Rb: 0.621 0.602 0.917
Rb: 0.398 0.019 0.315
Rb: 0.296 0.417 0.815
Rb: 0.204 0.519 0.621
Rb: 0.898 0.083 0.879
Rb: 0.685 0.204 0.583
Rb: 0.481 0.796 0.879
Rb: 0.019 0.398 0.815
Rb: 0.417 0.296 0.315
Rb: 0.019 0.621 0.704
Rb: 0.685 0.481 0.602
Rb: 0.296 0.879 0.981

Properties
Symmetry: Ia-3d (230)
VASP energy: -2.11 eV/atom

=====

Computed, not measured: RbH2Br2 after structural relaxation at the GGA-PBE level of DFT.

abc: 5.350 6.126 10.898
angles: 120.99 90.00 115.89
Fractional coordinates of all 10 atoms:
Rb: 0.654 0.000 0.250
Rb: 0.346 0.000 0.750
H: 0.542 0.545 0.485
H: 0.997 0.455 0.015
H: 0.458 0.455 0.515
H: 0.003 0.545 0.985
Br: 0.277 0.231 0.118
Br: 0.046 0.769 0.382
Br: 0.723 0.769 0.882
Br: 0.954 0.231 0.618

Properties
Symmetry: C2/c (15)
VASP energy: -2.82 eV/atom

=====

Computed, not measured: Rb2H2Br after structural relaxation at the GGA-PBE level of DFT.

abc: 5.244 8.612 9.291
angles: 106.19 106.39 90.00
Fractional coordinates of all 10 atoms:
Rb: 0.866 0.158 0.232
Rb: 0.366 0.658 0.232
Rb: 0.134 0.842 0.768
Rb: 0.634 0.342 0.768
H: 0.926 0.500 0.500
H: 0.426 0.000 0.500
H: 0.074 0.500 0.500
H: 0.574 0.000 0.500
Br: 0.750 0.750 0.000
Br: 0.250 0.250 0.000

Properties
Symmetry: C2/m (12)
Excess energy over the best structure of this formula in the dataset: 13.7 meV/atom
VASP energy: -2.67 eV/atom

=====

Computed, not measured: Rb8HBr6 after structural relaxation at the GGA-PBE level of DFT.

abc: 5.251 12.592 12.592
angles: 120.00 90.00 90.00
Fractional coordinates of all 15 atoms:
Rb: 0.737 0.965 0.292
Rb: 0.737 0.708 0.673
Rb: 0.737 0.327 0.035
Rb: 0.263 0.035 0.708
Rb: 0.263 0.292 0.327
Rb: 0.263 0.673 0.965
Rb: 0.746 0.333 0.667
Rb: 0.254 0.667 0.333
H: 0.500 0.000 0.000
Br: 0.760 0.657 0.128
Br: 0.760 0.872 0.529
Br: 0.760 0.471 0.343
Br: 0.240 0.343 0.872
Br: 0.240 0.128 0.471
Br: 0.240 0.529 0.657

Properties
Symmetry: P-3 (147)
VASP energy: -2.67 eV/atom

=====

Computed, not measured: Rb4HBr3 after structural relaxation at the GGA-PBE level of DFT.

abc: 4.834 8.372 8.372
angles: 109.32 90.00 90.00
Fractional coordinates of all 8 atoms:
Rb: 0.000 0.234 0.234
Rb: 0.500 0.760 0.240
Rb: 0.000 0.766 0.766
Rb: 0.500 0.240 0.760
H: 0.500 0.000 0.000
Br: 0.000 0.000 0.500
Br: 0.500 0.500 0.500
Br: 0.000 0.500 0.000

Properties
Symmetry: Cmmm (65)
VASP energy: -2.86 eV/atom

=====

Computed, not measured: RbHBr2 after structural relaxation at the GGA-PBE level of DFT.

abc: 7.209 7.209 7.209
angles: 44.48 44.48 44.48
Fractional coordinates of all 4 atoms:
H: 0.000 0.000 0.000
Br: 0.912 0.912 0.912
Br: 0.088 0.088 0.088
Rb: 0.500 0.500 0.500

Properties
Symmetry: R-3m (166)
Excess energy over the best structure of this formula in the dataset: 0.0 meV/atom
VASP energy: -2.93 eV/atom

=====

Computed, not measured: Rb3H4Br after structural relaxation at the GGA-PBE level of DFT.

abc: 4.688 4.899 14.081
angles: 101.74 99.58 90.00
Fractional coordinates of all 8 atoms:
Rb: 0.000 0.500 0.000
Rb: 0.187 0.178 0.374
Rb: 0.813 0.822 0.626
H: 0.422 0.283 0.844
H: 0.578 0.717 0.156
H: 0.596 0.620 0.192
H: 0.404 0.380 0.808
Br: 0.500 0.000 0.000

Properties
Symmetry: C2/m (12)
VASP energy: -2.63 eV/atom

=====

Computed, not measured: RbH4Br after structural relaxation at the GGA-PBE level of DFT.

abc: 4.755 6.028 9.584
angles: 145.47 90.00 113.23
Fractional coordinates of all 6 atoms:
Rb: 0.000 0.000 0.500
H: 0.355 0.711 0.143
H: 0.645 0.289 0.857
H: 0.531 0.063 0.793
H: 0.469 0.937 0.207
Br: 0.000 0.000 0.000

Properties
Symmetry: C2/m (12)
VASP energy: -3.24 eV/atom

=====

Computed, not measured: RbHBr after structural relaxation at the GGA-PBE level of DFT.

abc: 4.907 4.907 30.253
angles: 90.00 90.00 90.00
Fractional coordinates of all 24 atoms:
H: 0.262 0.663 0.634
H: 0.337 0.262 0.884
H: 0.663 0.262 0.116
H: 0.262 0.337 0.866
H: 0.663 0.738 0.384
H: 0.337 0.738 0.616
H: 0.738 0.337 0.134
H: 0.738 0.663 0.366
Br: 0.242 0.238 0.058
Br: 0.238 0.242 0.692
Br: 0.762 0.242 0.308
Br: 0.758 0.238 0.942
Br: 0.242 0.762 0.442
Br: 0.238 0.758 0.808
Br: 0.762 0.758 0.192
Br: 0.758 0.762 0.558
Rb: 0.252 0.255 0.562
Rb: 0.745 0.252 0.812
Rb: 0.748 0.255 0.438
Rb: 0.255 0.252 0.188
Rb: 0.748 0.745 0.062
Rb: 0.252 0.745 0.938
Rb: 0.255 0.748 0.312
Rb: 0.745 0.748 0.688

Properties
Symmetry: P4_122 (91)
Excess energy over the best structure of this formula in the dataset: 45.1 meV/atom
VASP energy: -3.09 eV/atom